No. 1
Here is a relaxed structure of BPbS2 from Alexandria via LeMat-Bulk. Energies are from PBE-GGA.

a = 9.1686 Å, b = 5.1775 Å, c = 10.7476 Å
α = 90.00°, β = 123.74°, γ = 90.00°
With the nearest neighbours (Å) after each atom.
Atoms (fractional coordinates):
B1 0.0857 0.1732 0.2427  3 S 1.78-1.90
B2 0.0857 0.3268 0.7427  3 S 1.78-1.90
B3 0.9143 0.6732 0.2573  3 S 1.78-1.90
B4 0.9143 0.8268 0.7573  3 S 1.78-1.90
Pb1 0.2179 0.5524 0.1134  3 S 2.91-2.97, 1 B 3.02
Pb2 0.2179 0.9476 0.6134  3 S 2.91-2.97, 1 B 3.02
Pb3 0.7821 0.0524 0.3866  3 S 2.91-2.97, 1 B 3.02
Pb4 0.7821 0.4476 0.8866  3 S 2.91-2.97, 1 B 3.02
S1 0.1253 0.0002 0.8364  2 B 1.86-1.90
S2 0.1253 0.4998 0.3364  2 B 1.86-1.90
S3 0.2792 0.0561 0.2619  1 B 1.78
S4 0.2792 0.4439 0.7619  1 B 1.78
S5 0.7208 0.5561 0.2381  1 B 1.78
S6 0.7208 0.9439 0.7381  1 B 1.78
S7 0.8747 0.9998 0.1636  2 B 1.86-1.90
S8 0.8747 0.5002 0.6636  2 B 1.86-1.90

Values from the calculation:
SG = P2_1/c (14)



No. 2
Here is a relaxed structure of BPbS4 from Alexandria via LeMat-Bulk. Energies are from PBE-GGA.

a = 6.2201 Å, b = 7.2816 Å, c = 9.1064 Å
α = 83.66°, β = 75.91°, γ = 73.50°
With the nearest neighbours (Å) after each atom.
Atoms (fractional coordinates):
B1 0.0843 0.3456 0.0357  3 S 1.77-1.85
B2 0.9157 0.6544 0.9643  3 S 1.77-1.85
Pb1 0.4306 0.8756 0.7965  3 S 2.75-2.86
Pb2 0.5694 0.1244 0.2035  3 S 2.75-2.86
S1 0.1406 0.5688 0.0755  2 B 1.85
S2 0.1989 0.1044 0.0949  1 B 1.77
S3 0.2556 0.1829 0.4917  1 S 1.98
S4 0.4898 0.1849 0.6047  1 S 1.98
S5 0.5102 0.8151 0.3953  1 S 1.98
S6 0.7444 0.8171 0.5083  1 S 1.98
S7 0.8011 0.8956 0.9051  1 B 1.77
S8 0.8594 0.4312 0.9245  2 B 1.85

Values from the calculation:
SG = P-1 (2)



No. 3
Here is a relaxed structure of BPbS2 from Alexandria via LeMat-Bulk. Energies are from PBE-GGA.

a = 4.7567 Å, b = 4.7567 Å, c = 4.7567 Å
α = 60.00°, β = 60.00°, γ = 60.00°
With the nearest neighbours (Å) after each atom.
Atoms (fractional coordinates):
B1 0.0000 0.0000 0.0000  8 S 2.91
Pb1 0.5000 0.5000 0.5000  8 S 2.91
S1 0.2500 0.2500 0.2500  4 Pb 2.91, 4 B 2.91
S2 0.7500 0.7500 0.7500  4 B 2.91, 4 Pb 2.91

Values from the calculation:
SG = Fm-3m (225)



No. 4
Here is a relaxed structure of BPb3S from Alexandria via LeMat-Bulk. Energies are from PBE-GGA.

a = 5.0807 Å, b = 5.0807 Å, c = 5.0807 Å
α = 90.00°, β = 90.00°, γ = 90.00°
With the nearest neighbours (Å) after each atom.
Atoms (fractional coordinates):
B1 0.0000 0.0000 0.0000  6 Pb 2.54
Pb1 0.0000 0.0000 0.5000  2 B 2.54
Pb2 0.0000 0.5000 0.0000  2 B 2.54
Pb3 0.5000 0.0000 0.0000  2 B 2.54
S1 0.5000 0.5000 0.5000  12 Pb 3.59

Values from the calculation:
SG = Pm-3m (221)



No. 5
Here is a relaxed structure of BPb2S from Alexandria via LeMat-Bulk. Energies are from PBE-GGA.

a = 4.9789 Å, b = 4.9789 Å, c = 4.9789 Å
α = 60.00°, β = 60.00°, γ = 60.00°
With the nearest neighbours (Å) after each atom.
Atoms (fractional coordinates):
B1 0.0000 0.0000 0.0000  8 Pb 3.05
Pb1 0.2500 0.2500 0.2500  4 S 3.05, 4 B 3.05
Pb2 0.7500 0.7500 0.7500  4 S 3.05, 4 B 3.05
S1 0.5000 0.5000 0.5000  8 Pb 3.05

Values from the calculation:
SG = Fm-3m (225)



No. 6
Here is a relaxed structure of B4PbS7 from Alexandria via LeMat-Bulk. Energies are from PBE-GGA.

a = 13.4109 Å, b = 5.5379 Å, c = 5.3348 Å
α = 90.00°, β = 90.00°, γ = 90.00°
With the nearest neighbours (Å) after each atom.
Atoms (fractional coordinates):
B1 0.1248 0.1658 0.0000  4 S 1.91-1.96
B2 0.2478 0.6725 0.9796  4 S 1.90-2.02
B3 0.2522 0.3275 0.4796  4 S 1.90-2.02
B4 0.3752 0.8342 0.5000  4 S 1.91-1.96
B5 0.6248 0.8342 0.5000  4 S 1.91-1.96
B6 0.7478 0.3275 0.4796  4 S 1.90-2.02
B7 0.7522 0.6725 0.9796  4 S 1.90-2.02
B8 0.8752 0.1658 0.0000  4 S 1.91-1.96
Pb1 0.0000 0.6376 0.3139  5 S 2.90-3.02
Pb2 0.5000 0.3624 0.8139  5 S 2.90-3.02
S1 0.0000 0.3127 0.8865  2 B 1.96
S2 0.1274 0.8355 0.8957  2 B 1.90-1.91
S3 0.1287 0.2083 0.3577  2 B 1.90-1.92
S4 0.2383 0.3402 0.8564  3 B 1.96-2.02
S5 0.2617 0.6598 0.3564  3 B 1.96-2.02
S6 0.3713 0.7917 0.8577  2 B 1.90-1.92
S7 0.3726 0.1645 0.3957  2 B 1.90-1.91
S8 0.5000 0.6873 0.3865  2 B 1.96
S9 0.6274 0.1645 0.3957  2 B 1.90-1.91
S10 0.6287 0.7917 0.8577  2 B 1.90-1.92
S11 0.7383 0.6598 0.3564  3 B 1.96-2.02
S12 0.7617 0.3402 0.8564  3 B 1.96-2.02
S13 0.8713 0.2083 0.3577  2 B 1.90-1.92
S14 0.8726 0.8355 0.8957  2 B 1.90-1.91

Values from the calculation:
SG = Pmn2_1 (31)



No. 7
Here is a relaxed structure of B3PbS from Alexandria via LeMat-Bulk. Energies are from PBE-GGA.

a = 4.6661 Å, b = 4.6661 Å, c = 4.6661 Å
α = 90.00°, β = 90.00°, γ = 90.00°
With the nearest neighbours (Å) after each atom.
Atoms (fractional coordinates):
B1 0.0000 0.0000 0.5000  2 Pb 2.33
B2 0.0000 0.5000 0.0000  2 Pb 2.33
B3 0.5000 0.0000 0.0000  2 Pb 2.33
Pb1 0.0000 0.0000 0.0000  6 B 2.33
S1 0.5000 0.5000 0.5000  12 B 3.30

Values from the calculation:
SG = Pm-3m (221)



No. 8
Here is a relaxed structure of BPbS2 from Alexandria via LeMat-Bulk. Energies are from PBE-GGA.

a = 8.0959 Å, b = 8.0959 Å, c = 8.0959 Å
α = 27.92°, β = 27.92°, γ = 27.92°
With the nearest neighbours (Å) after each atom.
Atoms (fractional coordinates):
B1 0.0000 0.0000 0.0000  2 S 1.68
Pb1 0.5000 0.5000 0.5000  6 S 3.15
S1 0.0721 0.0721 0.0721  1 B 1.68
S2 0.9279 0.9279 0.9279  1 B 1.68

Values from the calculation:
SG = R-3m (166)



No. 9
Here is a relaxed structure of BPb2S from Alexandria via LeMat-Bulk. Energies are from PBE-GGA.

a = 7.2438 Å, b = 7.2438 Å, c = 7.2438 Å
α = 130.52°, β = 130.52°, γ = 72.58°
With the nearest neighbours (Å) after each atom.
Atoms (fractional coordinates):
B1 0.0000 0.0000 0.0000  4 Pb 2.41
B2 0.7500 0.2500 0.5000  4 Pb 2.41
Pb1 0.0671 0.6250 0.9421  2 B 2.41
Pb2 0.3750 0.3171 0.4421  2 B 2.41
Pb3 0.6829 0.1250 0.0579  2 B 2.41
Pb4 0.8750 0.9329 0.5579  2 B 2.41
S1 0.2500 0.7500 0.5000  4 Pb 2.81
S2 0.5000 0.5000 0.0000  4 Pb 2.81

Values from the calculation:
SG = I-42d (122)



No. 10
Here is a relaxed structure of B2PbS from Alexandria via LeMat-Bulk. Energies are from PBE-GGA.

a = 5.9443 Å, b = 5.9443 Å, c = 5.9443 Å
α = 130.06°, β = 130.06°, γ = 73.31°
With the nearest neighbours (Å) after each atom.
Atoms (fractional coordinates):
B1 0.0586 0.6250 0.9336  2 S 1.96
B2 0.3750 0.3086 0.4336  2 S 1.96
B3 0.6914 0.1250 0.0664  2 S 1.96
B4 0.8750 0.9414 0.5664  2 S 1.96
Pb1 0.2500 0.7500 0.5000  4 B 2.35
Pb2 0.5000 0.5000 0.0000  4 B 2.35
S1 0.0000 0.0000 0.0000  4 B 1.96
S2 0.7500 0.2500 0.5000  4 B 1.96

Values from the calculation:
SG = I-42d (122)



| no. | formation energy without anion corrections (meV per atom) |
| --- | --- |
| 1 | -217 |
| 2 | -273 |
| 3 | 1026 |
| 4 | 597 |
| 5 | 838 |
| 6 | -429 |
| 7 | 2542 |
| 8 | -18 |
| 9 | 490 |
| 10 | 634 |